(1)
Computed, not measured: a relaxed structure of SbRh2Au at the PBE level of DFT.

Summary:
**VASP energy**: -0.4049 Ry per atom
**Space-group type**: R-3m, No. 166
**E_form (uncorrected)**: 17.2 meV/atom

POSCAR file:
```
SbRh2Au
1.0
-1.524 -5.436 -6.107
1.195 -6.580 -4.943
-1.561 -7.345 -3.574
Rh Sb Au
2 1 1
Cartesian
-0.462 -4.733 -3.575 Rh
-1.428 -14.627 -11.049 Rh
-0.945 -9.680 -7.312 Sb
0.000 0.000 0.000 Au
```

(2)
Computed, not measured: a relaxed structure of SbRh2Au at the PBE level of DFT.

Summary:
**VASP energy**: -0.3922 Ry per atom
**Space-group type**: I-42d, No. 122
**E_form (uncorrected)**: 189.8 meV/atom

POSCAR file:
```
SbRh2Au
1.0
3.988 0.000 0.000
0.000 3.988 0.000
1.994 1.994 9.293
Rh Au Sb
4 2 2
Cartesian
0.975 2.991 2.323 Rh
2.991 2.969 6.969 Rh
3.013 0.997 2.323 Rh
4.985 5.007 6.969 Rh
0.000 0.000 0.000 Au
3.988 1.994 4.646 Au
1.994 3.988 4.646 Sb
1.994 1.994 0.000 Sb
```

(3)
Computed, not measured: a relaxed structure of SbRh2Au at the PBE level of DFT.

Summary:
**VASP energy**: -0.4149 Ry per atom
**Space-group type**: P4/mmm, No. 123
**E_form (uncorrected)**: -119.2 meV/atom

POSCAR file:
```
SbRh2Au
1.0
3.002 -3.000 0.000
3.002 3.000 0.000
0.000 0.000 3.700
Au Rh Sb
1 2 1
Cartesian
3.002 0.000 1.850 Au
1.501 1.500 0.000 Rh
1.501 -1.500 0.000 Rh
0.000 0.000 1.850 Sb
```

(4)
Computed, not measured: a relaxed structure of Sb8Rh2Au at the PBE level of DFT.

Summary:
**VASP energy**: -0.3443 Ry per atom
**Space-group type**: C2/m, No. 12
**E_form (uncorrected)**: -51.2 meV/atom

POSCAR file:
```
Sb8Rh2Au
1.0
5.094 0.058 0.092
-0.007 7.384 -4.247
0.525 -0.152 8.280
Sb Rh Au
8 2 1
Cartesian
3.181 5.837 1.601 Sb
0.891 4.615 3.102 Sb
0.895 0.361 5.549 Sb
1.271 4.210 -1.221 Sb
4.341 3.080 5.346 Sb
2.431 1.453 2.524 Sb
4.721 2.674 1.023 Sb
4.718 6.929 -1.425 Sb
1.866 2.726 4.738 Rh
3.746 4.564 -0.613 Rh
0.525 -0.152 8.279 Au
```

Please write out number 2 again, unchanged.
Computed, not measured: a relaxed structure of SbRh2Au at the PBE level of DFT.

Summary:
**VASP energy**: -0.3922 Ry per atom
**Space-group type**: I-42d, No. 122
**E_form (uncorrected)**: 189.8 meV/atom

POSCAR file:
```
SbRh2Au
1.0
3.988 0.000 0.000
0.000 3.988 0.000
1.994 1.994 9.293
Rh Au Sb
4 2 2
Cartesian
0.975 2.991 2.323 Rh
2.991 2.969 6.969 Rh
3.013 0.997 2.323 Rh
4.985 5.007 6.969 Rh
0.000 0.000 0.000 Au
3.988 1.994 4.646 Au
1.994 3.988 4.646 Sb
1.994 1.994 0.000 Sb
```